# PmSiRuN PBE-GGA relaxed
data_PmSiRuN
_chemical_formula_sum 'Pm2 Si2 Ru2 N2'
_cell_length_a 3.979
_cell_length_b 3.979
_cell_length_c 8.149
_cell_angle_alpha 90.00
_cell_angle_beta 90.00
_cell_angle_gamma 90.00
_symmetry_space_group_name_H-M 'P 4/n m m'
_symmetry_Int_Tables_number 129
loop_
_symmetry_equiv_pos_as_xyz
'x,y,z'
'-x,-y,-z'
'-y+1/2,x,z'
'y+1/2,-x,-z'
'-x+1/2,-y+1/2,z'
'x+1/2,y+1/2,-z'
'y,-x+1/2,z'
'-y,x+1/2,-z'
'x+1/2,-y,-z'
'-x+1/2,y,z'
'-y,-x,-z'
'y,x,z'
'-x,y+1/2,-z'
'x,-y+1/2,z'
'y+1/2,x+1/2,-z'
'-y+1/2,-x+1/2,z'
loop_
_atom_site_label
_atom_site_fract_x
_atom_site_fract_y
_atom_site_fract_z
_atom_site_occupancy
Pm1 0.250 0.250 0.159 1
Si1 0.250 0.250 0.655 1
Ru1 0.250 0.750 0.500 1
N1 0.250 0.250 0.872 1
# Spin magnetization ... 0.00 μB/f.u.
# Total energy ... -63.965 eV/cell
# V ... 129.01 Å³/cell
# Formation energy (no corrections) ... -1.0519 eV/atom

***

# PmSiRu2N PBE-GGA relaxed
data_PmSiRu2N
_chemical_formula_sum 'Pm4 Si4 Ru8 N4'
_cell_length_a 3.792
_cell_length_b 11.350
_cell_length_c 7.141
_cell_angle_alpha 90.00
_cell_angle_beta 90.00
_cell_angle_gamma 90.00
_symmetry_space_group_name_H-M 'C m c m'
_symmetry_Int_Tables_number 63
_symmetry_space_group_name_Hall '-C 2c 2'
loop_
_atom_site_label
_atom_site_fract_x
_atom_site_fract_y
_atom_site_fract_z
_atom_site_occupancy
Pm1 0.000 0.046 0.250 1
Si1 0.000 0.229 0.750 1
Ru1 0.000 0.336 0.054 1
N1 0.000 0.500 0.000 1
# Spin magnetization ... 0.00 μB/f.u.
# Total energy ... -163.699 eV/cell
# V ... 307.36 Å³/cell
# Formation energy (no corrections) ... -0.7748 eV/atom